[1]
The following is a DFT calculation (PBE-GGA) of a relaxed TaAs3 crystal.

```
16
Lattice="6.1245 0.0000 0.0000 0.0000 8.2242 0.0000 0.0000 0.0000 6.0723" Properties=species:S:1:pos:R:3 pbc="T T T"
Ta 0.9148 2.0560 0.3952
Ta 2.1474 6.1681 3.4313
Ta 3.9770 2.0560 2.6409
Ta 5.2097 6.1681 5.6771
As 0.2639 2.0560 3.8409
As 1.2911 4.6529 5.5653
As 1.2911 7.6834 5.5653
As 1.7712 0.5408 2.5292
As 1.7712 3.5713 2.5292
As 2.7983 6.1681 0.8048
As 3.3262 2.0560 5.2675
As 4.3533 4.6529 3.5431
As 4.3533 7.6834 3.5431
As 4.8334 0.5408 0.5070
As 4.8334 3.5713 0.5070
As 5.8606 6.1681 2.2314
```

Computed properties:
As for the space-group type: Pnma (62). The formation energy is -0.184 eV per atom. The value obtained for the density of states at the Fermi level is 2.1 states/eV per cell.


[2]
The following is a DFT calculation (PBE-GGA) of a relaxed Ta5As crystal.

```
6
Lattice="5.0321 0.0000 0.0000 -2.5160 4.3579 0.0000 0.0000 0.0000 4.9415" Properties=species:S:1:pos:R:3 pbc="T T T"
Ta -1.6715 2.8952 0.0000
Ta 0.0000 2.9053 2.4708
Ta 0.8445 1.4627 0.0000
Ta 3.3431 0.0000 0.0000
Ta 2.5160 1.4526 2.4708
As 0.0000 0.0000 2.4708
```

Computed properties:
As for the space-group type: P-62m (189). The formation energy is 0.143 eV per atom. The value obtained for the density of states at the Fermi level is 5.5 states/eV per cell. Its excess energy over the best structure of this formula in the dataset is 0.237 eV per atom.


[3]
The following is a DFT calculation (PBE-GGA) of a relaxed Ta5As crystal.

```
6
Lattice="5.4852 -1.6819 0.0000 5.4852 1.6819 0.0000 -1.4042 0.0000 5.7878" Properties=species:S:1:pos:R:3 pbc="T T T"
Ta 0.0000 0.0000 0.0000
Ta 3.3954 0.0000 1.0613
Ta 2.8576 0.0000 3.8516
Ta 6.7087 0.0000 1.9363
Ta 6.1709 0.0000 4.7265
As -0.7021 0.0000 2.8939
```

Computed properties:
As for the space-group type: C2/m (12). The formation energy is -0.072 eV per atom. The value obtained for the density of states at the Fermi level is 4.4 states/eV per cell. Its excess energy over the best structure of this formula in the dataset is 0.021 eV per atom.


[4]
The following is a DFT calculation (PBE-GGA) of a relaxed TaAs3 crystal.

```
4
Lattice="-1.9826 1.9826 4.5580 1.9826 -1.9826 4.5580 1.9826 1.9826 -4.5580" Properties=species:S:1:pos:R:3 pbc="T T T"
Ta 0.0000 0.0000 0.0000
As 1.9826 0.0000 2.2790
As 0.0000 0.0000 4.5580
As 0.0000 1.9826 2.2790
```

Computed properties:
As for the space-group type: I4/mmm (139). The formation energy is 0.286 eV per atom. The value obtained for the density of states at the Fermi level is 2.4 states/eV per cell.


Number 1: energy -6.6342 eV/atom. Number 2: energy -10.5088 eV/atom. Number 3: energy -10.7243 eV/atom. Number 4: energy -6.1646 eV/atom.